1.
DFT (PBE) results for Li2Cu2Pd5 after structural relaxation.

Unit cell a=15.154 b=6.115 c=5.525 alpha=90.00 beta=90.00 gamma=90.00
Space group Ima2 (No. 46)
Asymmetric unit:
Li 0.043 0.124 0.000 (multiplicity 8)
Cu 0.000 0.000 0.499 (multiplicity 4)
Cu 0.250 0.534 0.000 (multiplicity 4)
Pd 0.108 0.750 0.250 (multiplicity 8)
Pd 0.157 0.250 0.250 (multiplicity 8)
Pd 0.250 0.562 0.500 (multiplicity 4)

Properties
M_tot   0.00 μB/cell
Calculated total energy   -4.275 eV per atom
E above lowest polymorph   0.155 eV per atom

***

2.
DFT (PBE) results for Li5Cu2Pd after structural relaxation.

Unit cell a=3.753 b=3.753 c=15.630 alpha=90.00 beta=90.00 gamma=90.00
Space group I4/mmm (No. 139)
Asymmetric unit:
Li 0.000 0.000 0.000 (multiplicity 2)
Li 0.000 0.500 0.129 (multiplicity 8)
Cu 0.000 0.000 0.251 (multiplicity 4)
Pd 0.000 0.000 0.500 (multiplicity 2)

Properties
M_tot   0.00 μB/cell
Calculated total energy   -3.021 eV per atom

***

3.
DFT (PBE) results for Li2Cu5Pd4 after structural relaxation.

Unit cell a=4.052 b=5.329 c=7.098 alpha=82.35 beta=73.82 gamma=90.00
Space group P-1 (No. 2)
Asymmetric unit:
Li 0.088 0.452 0.327 (multiplicity 2)
Cu 0.000 0.000 0.500 (multiplicity 1)
Cu 0.262 0.369 0.976 (multiplicity 2)
Cu 0.439 0.285 0.618 (multiplicity 2)
Pd 0.182 0.890 0.137 (multiplicity 2)
Pd 0.378 0.797 0.744 (multiplicity 2)

Properties
M_tot   0.00 μB/cell
Calculated total energy   -4.268 eV per atom
E above lowest polymorph   0.000 eV per atom